! Tb6Ho2Tm, relaxed, DFT PBE; values from VASP
&SYSTEM
  ibrav = 0, nat = 9, ntyp = 3
/
ATOMIC_SPECIES
Tb 158.93 Tb.upf
Ho 164.93 Ho.upf
Tm 168.93 Tm.upf
CELL_PARAMETERS angstrom
3.540 0.000 0.000
-0.010 8.658 0.000
-1.761 -0.004 9.186
ATOMIC_POSITIONS crystal
Tb 0.111 0.167 0.221
Tb 0.222 0.833 0.444
Tb 0.334 0.500 0.668
Tb 0.666 0.500 0.332
Tb 0.778 0.167 0.556
Tb 0.889 0.833 0.779
Ho 0.445 0.168 0.890
Ho 0.555 0.832 0.110
Tm 0.000 0.500 0.000
! Magnetization, μB/f.u.: 0.0
! N(E_F), states/eV/f.u.: 12.2
! Offset from the most stable computed form, meV per atom: 0
! Calculated formation energy, eV per atom: 0.0169